Material: Ge3MoAu
Method: DFT, PBEsol
State: relaxed

Calculated values
As for the crystal system: cubic. Its formation energy is 1332 meV per atom.

```
data_Ge3MoAu
_chemical_formula_sum 'Ge3 Mo1 Au1'
_symmetry_space_group_name_H-M 'P 1'
_symmetry_Int_Tables_number 1
_symmetry_space_group_name_Hall 'P 1'
_cell_length_a 4.874
_cell_length_b 4.874
_cell_length_c 4.874
_cell_angle_alpha 90.00
_cell_angle_beta 90.00
_cell_angle_gamma 90.00
loop_
_atom_site_label
_atom_site_fract_x
_atom_site_fract_y
_atom_site_fract_z
Ge1 0.000 0.000 0.500
Ge2 0.000 0.500 0.000
Ge3 0.500 0.000 0.000
Mo1 0.500 0.500 0.500
Au1 0.000 0.000 0.000
```